The following is a DFT calculation (PBE) of a relaxed LaSm8Tl2 crystal.

## Properties
**E_form**: -17 meV per atom
**Total moment**: 0.000 μB per cell

a b c (Å): 5.443 10.245 10.245
angles (deg): 39.87 93.44 93.44
Positions (direct):
1 Sm 0.767 0.799 0.799
2 Sm 0.277 0.604 0.128
3 Sm 0.762 0.455 0.455
4 Sm 0.238 0.545 0.545
5 Sm 0.723 0.872 0.396
6 Sm 0.723 0.396 0.872
7 Sm 0.277 0.128 0.604
8 Sm 0.233 0.201 0.201
9 Tl 0.757 0.289 0.289
10 Tl 0.243 0.711 0.711
11 La 0.000 0.000 0.000